# 1
GGA-PBE LiAcPmTm, optimized geometry; theoretical density = 6.9 Mg/m³; SG = F-43m, No. 216; D(E_F) = 4.39 states/eV/f.u.; E_tot = -3.6628 eV per atom; formation enthalpy at 0 K = 0.148 eV per atom
1.0
-5.233 0.592 -2.194
-1.324 -2.524 -4.943
-3.584 -4.439 -0.067
Tm Li Pm Ac
1 1 1 1
Direct
0.500 0.500 0.500
0.000 0.000 0.000
0.250 0.250 0.250
0.750 0.750 0.750

***

# 2
GGA-PBE LiAcPmY, optimized geometry; theoretical density = 5.8 Mg/m³; SG = F-43m, No. 216; D(E_F) = 4.47 states/eV/f.u.; E_tot = -4.0683 eV per atom; formation enthalpy at 0 K = 0.241 eV per atom
1.0
-0.357 5.269 2.297
-5.041 2.783 0.051
-2.803 0.791 4.968
Y Li Ac Pm
1 1 1 1
Direct
0.000 0.000 0.000
0.750 0.750 0.750
0.250 0.250 0.250
0.500 0.500 0.500

***

# 3
GGA-PBE LiAcPmZn, optimized geometry; theoretical density = 6.5 Mg/m³; SG = P4mm, No. 99; D(E_F) = 4.58 states/eV/f.u.; E_tot = -3.1144 eV per atom; formation enthalpy at 0 K = -0.103 eV per atom
1.0
-1.514 -2.821 2.169
2.400 -2.550 -1.641
5.189 1.389 5.430
Zn Ac Pm Li
1 1 1 1
Direct
0.000 0.000 0.330
0.500 0.500 0.592
0.500 0.500 0.125
0.000 0.000 0.880

***

# 4
GGA-PBE LiAcPmZn, optimized geometry; theoretical density = 6.5 Mg/m³; SG = F-43m, No. 216; D(E_F) = 5.85 states/eV/f.u.; E_tot = -3.0845 eV per atom; formation enthalpy at 0 K = -0.073 eV per atom
1.0
5.430 0.000 0.000
2.715 4.702 0.000
2.715 1.567 4.433
Pm Li Ac Zn
1 1 1 1
Direct
0.750 0.750 0.750
0.500 0.500 0.500
0.250 0.250 0.250
0.000 0.000 0.000

***

# 5
GGA-PBE LiAcPr, optimized geometry; theoretical density = 6.1 Mg/m³; SG = P2_1/m, No. 11; D(E_F) = 3.88 states/eV/f.u.; E_tot = -3.5281 eV per atom; formation enthalpy at 0 K = 0.073 eV per atom
1.0
-4.018 3.865 -0.268
-4.253 -4.654 -3.341
-0.535 -0.175 5.496
Li Ac Pr
2 2 2
Direct
0.575 0.602 0.339
0.075 0.607 0.844
0.075 0.296 0.188
0.575 0.912 0.995
0.075 0.905 0.492
0.575 0.304 0.691

***

# 6
GGA-PBE LiAc2Pr, optimized geometry; theoretical density = 6.7 Mg/m³; SG = P4/mmm, No. 123; D(E_F) = 5.99 states/eV/f.u.; E_tot = -3.6763 eV per atom; formation enthalpy at 0 K = 0.051 eV per atom
1.0
3.949 0.000 0.000
0.000 3.949 0.000
0.000 0.000 9.512
Li Ac Pr
1 2 1
Direct
0.500 0.500 0.000
0.000 0.000 0.775
0.000 0.000 0.225
0.500 0.500 0.500

***

# 7
GGA-PBE LiAcPr2, optimized geometry; theoretical density = 5.7 Mg/m³; SG = R-3m, No. 166; D(E_F) = 5.39 states/eV/f.u.; E_tot = -3.6828 eV per atom; formation enthalpy at 0 K = 0.213 eV per atom
1.0
3.693 0.000 0.000
1.847 3.199 0.000
1.847 1.066 12.795
Ac Li Pr
1 1 2
Direct
0.500 0.500 0.500
0.000 0.000 0.000
0.913 0.913 0.262
0.087 0.087 0.738

***

# 8
GGA-PBE LiAcPr2, optimized geometry; theoretical density = 6.1 Mg/m³; SG = P4/mmm, No. 123; D(E_F) = 6.59 states/eV/f.u.; E_tot = -3.7424 eV per atom; formation enthalpy at 0 K = 0.153 eV per atom
1.0
5.452 0.000 0.000
0.000 5.056 0.000
0.000 0.000 5.056
Ac Li Pr
1 1 2
Direct
0.500 0.500 0.500
0.500 0.000 0.000
0.000 0.000 0.500
0.000 0.500 0.000

***

# 9
GGA-PBE LiAcPr2, optimized geometry; theoretical density = 6.0 Mg/m³; SG = R3m, No. 160; D(E_F) = 5.95 states/eV/f.u.; E_tot = -3.7653 eV per atom; formation enthalpy at 0 K = 0.130 eV per atom
1.0
3.735 0.000 0.001
1.868 3.235 0.001
1.870 1.080 11.796
Li Pr Ac
1 2 1
Direct
0.667 0.667 0.000
0.257 0.257 0.230
0.077 0.077 0.770
0.500 0.500 0.500

***

# 10
GGA-PBE LiAcPr, optimized geometry; theoretical density = 6.1 Mg/m³; SG = I4mm, No. 107; D(E_F) = 4.50 states/eV/f.u.; E_tot = -3.5299 eV per atom; formation enthalpy at 0 K = 0.071 eV per atom
1.0
3.952 0.000 0.000
0.000 3.952 0.000
-1.976 -1.976 6.510
Pr Ac Li
1 1 1
Direct
0.314 0.314 0.627
0.013 0.013 0.027
0.673 0.673 0.346

***

# 11
GGA-PBE LiAc4Pr5, optimized geometry; theoretical density = 7.1 Mg/m³; SG = P4/mmm, No. 123; D(E_F) = 15.18 states/eV/f.u.; E_tot = -4.1908 eV per atom; formation enthalpy at 0 K = 0.034 eV per atom
1.0
3.873 0.000 0.000
0.000 3.873 0.000
0.000 0.000 25.200
Li Ac Pr
1 4 5
Direct
0.000 0.000 0.000
0.000 0.000 0.394
0.000 0.000 0.819
0.000 0.000 0.181
0.000 0.000 0.606
0.500 0.500 0.923
0.500 0.500 0.287
0.500 0.500 0.077
0.500 0.500 0.713
0.500 0.500 0.500

***

# 12
GGA-PBE LiAcPr2, optimized geometry; theoretical density = 6.1 Mg/m³; SG = Fm-3m, No. 225; D(E_F) = 5.09 states/eV/f.u.; E_tot = -3.6876 eV per atom; formation enthalpy at 0 K = 0.208 eV per atom
1.0
-4.084 3.414 -2.418
-5.600 -1.680 0.019
-3.873 2.774 3.389
Pr Li Ac
2 1 1
Direct
0.750 0.750 0.750
0.250 0.250 0.250
0.500 0.500 0.500
0.000 0.000 0.000